8
Lattice="4.605 0.000 0.000 0.000 5.555 0.000 0.000 -2.778 4.811" Properties=species:S:1:pos:R:3 comment="NiAu3 (GGA-PBEsol, optimized geometry)" formation_energy_ev_per_fu=0.3 pbc="T T T"
Au 3.454 0.000 1.632
Au 1.151 2.778 3.179
Au 3.454 -1.364 3.995
Au 1.151 4.142 0.816
Au 3.454 1.364 3.995
Au 1.151 1.413 0.816
Ni 3.454 2.778 1.604
Ni 1.151 0.000 3.207

=====

20
Lattice="-1.771 -0.441 -5.183 4.833 -2.606 -1.430 -3.254 -6.969 1.705" Properties=species:S:1:pos:R:3 comment="CaNbO3 (GGA-PBEsol, optimized geometry)" total_energy_ry_per_atom=-0.6265 pbc="T T T"
Ca -0.573 -1.887 0.293
Ca -1.188 -6.615 -2.007
Ca 0.996 -3.401 -2.900
Ca 0.381 -8.129 -5.200
Nb -0.885 -0.220 -2.591
Nb 2.416 -1.303 -0.715
Nb 0.790 -4.787 0.138
Nb -2.512 -3.705 -1.739
O -2.216 -4.696 -3.510
O -0.573 -4.062 -1.212
O -0.939 -8.782 -3.003
O 3.344 -2.492 -2.089
O 2.024 -5.320 -1.398
O 0.381 -5.954 -3.695
O 0.747 -1.234 -1.904
O -3.536 -7.524 -2.818
O 2.844 -4.536 -4.017
O -0.049 -6.640 0.064
O -0.143 -3.375 -4.971
O -3.036 -5.479 -0.891

=====

5
Lattice="4.816 0.000 0.000 0.000 4.880 0.000 0.000 0.000 4.880" Properties=species:S:1:pos:R:3 comment="HPdW2I (GGA-PBEsol, optimized geometry)" total_energy_ry_per_atom=-0.3463 pbc="T T T"
I 0.000 0.000 0.000
H 2.408 2.440 2.440
Pd 2.408 0.000 0.000
W 0.000 0.000 2.440
W 0.000 2.440 0.000

=====

4
Lattice="-1.129 -3.641 -2.490 3.189 -2.201 -2.391 1.354 -4.151 1.292" Properties=species:S:1:pos:R:3 comment="Mg2InCo (GGA-PBEsol, optimized geometry)" formation_energy_ev_per_fu=0.3 pbc="T T T"
Co 1.707 -4.996 -1.794
In 0.853 -2.498 -0.897
Mg 0.000 0.000 0.000
Mg 2.560 -7.495 -2.692

=====

5
Lattice="6.372 0.000 0.000 0.000 6.372 0.000 0.000 0.000 6.372" Properties=species:S:1:pos:R:3 comment="CsRbHg3 (GGA-PBEsol, optimized geometry)" formation_energy_ev_per_fu=0.5 pbc="T T T"
Cs 3.186 3.186 3.186
Hg 0.000 3.186 0.000
Hg 0.000 0.000 3.186
Hg 3.186 0.000 0.000
Rb 0.000 0.000 0.000

=====

46
Lattice="-2.393 0.358 3.167 0.707 -12.467 1.941 10.082 1.727 7.421" Properties=species:S:1:pos:R:3 comment="Ba3Ta4NbO15 (GGA-PBEsol, optimized geometry)" total_energy_ry_per_atom=-0.6850 pbc="T T T"
Ba 0.000 0.000 0.000
Ba 5.394 -5.370 4.681
Ba 6.843 -0.930 5.275
Ba 3.946 -9.810 4.088
Ba 8.870 -6.877 7.477
Ba 1.919 -3.863 1.886
Ta 1.001 -0.416 3.310
Ta 7.396 -9.966 9.220
Ta 2.110 -6.520 4.838
Ta 6.286 -3.862 7.692
Ta 0.138 -9.506 3.685
Ta 8.258 -0.876 8.845
Ta 5.126 -7.707 7.250
Ta 3.270 -2.675 5.280
Nb 3.845 1.042 5.294
Nb -0.843 -6.055 2.554
O 5.041 0.864 3.711
O 0.354 -6.234 0.971
O 6.865 -1.964 7.915
O 1.531 -8.418 4.615
O 6.615 -8.301 8.442
O 1.782 -2.081 4.088
O 2.144 -0.639 1.692
O 8.645 -10.101 7.671
O 3.363 -6.725 3.300
O 7.426 -4.015 6.063
O 1.367 -9.747 2.133
O 9.422 -0.993 7.230
O 6.347 -7.814 5.677
O 4.442 -2.926 3.686
O -0.886 -4.064 2.297
O 9.282 -6.319 10.233
O 4.370 -9.457 6.877
O 4.026 -0.925 5.653
O 2.946 -11.614 6.044
O 5.450 1.231 6.486
O 7.643 -4.687 8.811
O 0.753 -5.695 3.719
O -0.428 -1.451 2.348
O 8.824 -8.932 10.182
O 3.627 -7.050 6.044
O 4.769 -3.332 6.487
O 0.874 -11.219 4.434
O 7.522 0.836 8.096
O 5.655 -5.778 7.432
O 2.741 -4.605 5.098

=====

4
Lattice="4.037 0.000 0.000 2.019 3.496 0.000 2.019 1.165 3.296" Properties=species:S:1:pos:R:3 comment="BeCu2Mo (GGA-PBEsol, optimized geometry)" formation_energy_ev_per_fu=1.2 pbc="T T T"
Be 2.019 1.165 0.824
Cu 0.000 0.000 0.000
Cu 6.056 3.496 2.472
Mo 4.037 2.331 1.648

=====

4
Lattice="3.756 0.000 0.000 1.878 3.253 0.000 1.878 1.084 3.067" Properties=species:S:1:pos:R:3 comment="MnPdN2 (GGA-PBEsol, optimized geometry)" total_energy_ry_per_atom=-0.5346 pbc="T T T"
Mn 0.000 0.000 0.000
Pd 3.756 2.169 1.533
N 1.878 1.084 0.767
N 5.634 3.253 2.300

=====

5
Lattice="-1.428 5.099 -0.936 -2.319 0.240 4.845 4.636 1.691 2.135" Properties=species:S:1:pos:R:3 comment="BaHgCl3 (GGA-PBEsol, optimized geometry)" total_energy_ry_per_atom=-0.2193 pbc="T T T"
Cl -1.159 0.120 2.423
Cl 2.318 0.845 1.068
Cl -0.714 2.549 -0.468
Hg 0.000 0.000 0.000
Ba 0.445 3.515 3.022

=====

5
Lattice="5.192 0.000 0.000 0.000 5.192 0.000 0.000 0.000 5.192" Properties=species:S:1:pos:R:3 comment="CsPdBr3 (GGA-PBEsol, optimized geometry)" total_energy_ry_per_atom=-0.2532 pbc="T T T"
Cs 2.596 2.596 2.596
Pd 0.000 0.000 0.000
Br 0.000 2.596 0.000
Br 0.000 0.000 2.596
Br 2.596 0.000 0.000

=====

4
Lattice="2.888 0.000 0.000 0.000 5.466 0.000 -1.444 -2.733 5.629" Properties=species:S:1:pos:R:3 comment="BaTa2As (GGA-PBEsol, optimized geometry)" formation_energy_ev_per_fu=1.8 pbc="T T T"
As 0.000 2.733 0.000
Ba 1.444 0.000 0.000
Ta 1.444 2.733 2.321
Ta 0.000 0.000 3.309

=====

5
Lattice="-1.897 2.797 3.029 -3.966 -2.149 -0.500 1.179 -2.990 3.498" Properties=species:S:1:pos:R:3 comment="NaAlTcP2 (GGA-PBEsol, optimized geometry)" formation_energy_ev_per_fu=9.3 pbc="T T T"
P -1.983 -1.074 -0.250
P -0.949 1.398 1.515
Na 0.000 0.000 0.000
Tc 0.589 -1.495 1.749
Al -2.342 -1.171 3.014

=====

34
Lattice="-7.130 0.284 2.654 -0.433 -1.877 -7.366 0.472 -8.765 2.206" Properties=species:S:1:pos:R:3 comment="Zr7Ni10 (GGA-PBEsol, optimized geometry)" formation_energy_ev_per_fu=-8.0 pbc="T T T"
Ni -5.996 -1.834 1.696
Ni -4.484 -6.696 0.621
Ni -4.553 -3.035 -0.215
Ni -5.846 -6.991 2.908
Ni -1.095 -8.524 -4.201
Ni -2.608 -3.662 -3.126
Ni -2.538 -7.323 -2.290
Ni -1.245 -3.367 -5.413
Ni -2.540 -0.087 0.494
Ni -0.998 -5.232 -1.711
Ni -4.149 -5.754 -3.704
Ni -6.496 -9.643 -0.089
Ni -4.551 -10.271 -2.999
Ni -6.094 -5.126 -0.794
Ni -2.943 -4.604 1.199
Ni -0.596 -0.715 -2.416
Ni -2.930 -1.545 -1.625
Ni -0.517 -5.469 0.834
Ni -6.575 -4.889 -3.340
Ni -4.161 -8.813 -0.880
Zr 0.000 0.000 0.000
Zr -3.546 -5.179 -1.253
Zr -5.063 -0.383 -0.439
Zr -5.613 -4.512 1.840
Zr -2.501 -1.210 -4.273
Zr -1.479 -5.846 -4.346
Zr -3.868 -3.924 -5.479
Zr 0.124 -7.515 -2.036
Zr -3.224 -6.434 2.974
Zr -7.216 -2.843 -0.469
Zr -1.263 -3.040 -0.188
Zr -1.988 -7.625 0.316
Zr -5.104 -2.733 -2.821
Zr -5.829 -7.318 -2.317

=====

5
Lattice="-4.317 -1.486 0.213 1.415 -4.276 -1.150 0.573 -1.021 4.499" Properties=species:S:1:pos:R:3 comment="ZrGeP2Cl (GGA-PBEsol, optimized geometry)" total_energy_ry_per_atom=-0.3829 pbc="T T T"
P 0.286 -0.510 2.249
P 0.707 -2.138 -0.575
Ge 0.000 0.000 0.000
Zr -1.165 -3.391 1.781
Cl -2.159 -0.743 0.106

=====

8
Lattice="-5.377 -1.095 -2.921 -2.200 -2.797 5.097 1.547 7.460 0.971" Properties=species:S:1:pos:R:3 comment="MnBi2P (GGA-PBEsol, optimized geometry)" formation_energy_ev_per_fu=2.4 pbc="T T T"
P -3.809 2.210 -0.431
P -3.788 -1.946 1.088
Mn -2.220 1.358 3.578
Mn 0.000 0.000 0.000
Bi -3.523 -0.987 3.624
Bi -5.174 -0.148 -0.419
Bi 0.226 5.125 0.971
Bi -3.588 3.146 2.117

=====

4
Lattice="-1.068 0.583 4.966 -4.844 -0.275 1.623 -1.542 -4.013 2.772" Properties=species:S:1:pos:R:3 comment="Tl2AsCl (GGA-PBEsol, optimized geometry)" relative_energy_ev_per_atom=0.097 pbc="T T T"
Tl -5.057 -3.071 4.538
Tl -2.397 -0.634 4.823
As -0.534 0.292 2.483
Cl -3.193 -2.144 2.197

=====

4
Lattice="-2.486 0.337 -0.859 -0.811 -3.505 0.972 -1.454 1.688 4.874" Properties=species:S:1:pos:R:3 comment="CrOs2Rh (GGA-PBEsol, optimized geometry)" relative_energy_ev_per_atom=0.046 formation_energy_ev_per_fu=0.3 pbc="T T T"
Cr -2.376 -0.740 2.493
Os -1.070 1.241 3.585
Os -0.385 0.446 1.289
Rh -1.649 -1.584 0.056

=====

6
Lattice="4.147 0.000 0.000 0.000 4.097 0.000 0.000 2.049 5.299" Properties=species:S:1:pos:R:3 comment="RbHO (GGA-PBEsol, optimized geometry)" total_energy_ry_per_atom=-0.3314 pbc="T T T"
H 1.686 4.097 0.300
H 3.760 2.049 4.999
Rb 1.067 4.097 3.829
Rb 3.141 2.049 1.470
O 0.960 4.097 0.987
O 3.034 2.049 4.313

=====

3
Lattice="-1.263 0.433 5.556 3.014 -2.953 3.853 3.566 2.726 3.536" Properties=species:S:1:pos:R:3 comment="BaCaY (GGA-PBEsol, optimized geometry)" relative_energy_ev_per_atom=0.636 formation_energy_ev_per_fu=2.5 pbc="T T T"
Y 2.659 0.103 6.473
Ca 0.000 0.000 0.000
Ba 1.329 0.051 3.236

=====

5
Lattice="4.400 0.000 0.000 0.000 4.449 0.000 0.000 0.000 4.449" Properties=species:S:1:pos:R:3 comment="ZnCoTc2I (GGA-PBEsol, optimized geometry)" total_energy_ry_per_atom=-0.4096 pbc="T T T"
I 2.200 2.224 2.224
Zn 2.200 0.000 0.000
Co 0.000 0.000 0.000
Tc 0.000 0.000 2.224
Tc 0.000 2.224 0.000